i) CuAs2Br2 (PBE, relaxed); calculated volume = 23.8 Å³ per atom; crystal system = tetragonal; D(E_F) = 4.09 states/eV/f.u.
1.0
-1.8146 1.8146 9.0351
1.8146 -1.8146 9.0351
1.8146 1.8146 -9.0351
Cu As Br
1 2 2
Cartesian
0.0000 0.0000 0.0000
1.8146 0.0000 4.5176
0.0000 1.8146 4.5176
0.0000 0.0000 7.4863
0.0000 0.0000 10.5840

=====

ii) CuAs2Br2 (PBE, relaxed); calculated volume = 27.1 Å³ per atom; crystal system = tetragonal; D(E_F) = 1.98 states/eV/f.u.
1.0
6.9056 0.0000 0.0000
0.0000 6.9056 0.0000
0.0000 0.0000 5.6738
Cu As Br
2 4 4
Cartesian
0.0000 0.0000 0.0000
3.4528 3.4528 0.0000
0.8129 2.6399 2.8369
2.6399 6.0927 2.8369
4.2657 0.8129 2.8369
6.0927 4.2657 2.8369
1.1942 2.2586 0.0000
2.2586 5.7114 0.0000
4.6470 1.1942 0.0000
5.7114 4.6470 0.0000

=====

Most stable structure, least stable structure: ii), i).

=====

i) CuAs2BrF (PBE, relaxed); calculated volume = 21.0 Å³ per atom; crystal system = tetragonal; D(E_F) = 2.93 states/eV/f.u.
1.0
4.2803 0.0000 0.0000
0.0000 4.2803 0.0000
0.0000 0.0000 5.7435
Cu As Br F
1 2 1 1
Cartesian
0.0000 0.0000 0.0000
0.0000 2.1401 2.8717
2.1401 0.0000 2.8717
2.1401 2.1401 0.0000
2.1401 2.1401 2.8717

=====

ii) CuAs2BrF (PBE, relaxed); calculated volume = 21.5 Å³ per atom; crystal system = tetragonal; D(E_F) = 2.65 states/eV/f.u.
1.0
4.6685 0.0000 0.0000
0.0000 4.6685 0.0000
0.0000 0.0000 4.9418
Cu As Br F
1 2 1 1
Cartesian
0.0000 0.0000 0.0000
0.0000 2.3343 0.0000
2.3343 0.0000 0.0000
0.0000 0.0000 2.4709
2.3343 2.3343 2.4709

=====

Most stable structure, least stable structure: ii), i).

=====

i) CuAsBr2F (PBE, relaxed); calculated volume = 23.8 Å³ per atom; crystal system = tetragonal; D(E_F) = 1.02 states/eV/f.u.
1.0
5.5751 0.0000 0.0000
0.0000 5.5751 0.0000
0.0000 0.0000 3.8299
Cu As Br F
1 1 2 1
Cartesian
0.0000 0.0000 0.0000
2.7875 2.7875 0.0000
0.0000 2.7875 1.9150
2.7875 0.0000 1.9150
2.7875 2.7875 1.9150

=====

ii) CuAsBr2F (PBE, relaxed); calculated volume = 22.4 Å³ per atom; crystal system = tetragonal; D(E_F) = 4.53 states/eV/f.u.
1.0
4.8591 0.0000 0.0000
0.0000 4.8591 0.0000
0.0000 0.0000 4.7540
Cu As Br F
1 1 2 1
Cartesian
0.0000 0.0000 0.0000
0.0000 0.0000 2.3770
0.0000 2.4296 0.0000
2.4296 0.0000 0.0000
2.4296 2.4296 2.3770

=====

Most stable structure, least stable structure: ii), i).

=====

i) CuGeAs2Br (PBE, relaxed); calculated volume = 26.1 Å³ per atom; crystal system = tetragonal; D(E_F) = 4.53 states/eV/f.u.
1.0
4.9871 0.0000 0.0000
0.0000 4.9871 0.0000
0.0000 0.0000 5.2452
Cu Ge As Br
1 1 2 1
Cartesian
0.0000 0.0000 0.0000
2.4935 2.4935 2.6226
0.0000 2.4935 2.6226
2.4935 0.0000 2.6226
2.4935 2.4935 0.0000

=====

ii) CuGeAs2Br (PBE, relaxed); calculated volume = 23.2 Å³ per atom; crystal system = tetragonal; D(E_F) = 3.79 states/eV/f.u.
1.0
4.6258 0.0000 0.0000
0.0000 4.6258 0.0000
0.0000 0.0000 5.4311
Cu Ge As Br
1 1 2 1
Cartesian
0.0000 0.0000 0.0000
2.3129 2.3129 2.7156
0.0000 2.3129 0.0000
2.3129 0.0000 0.0000
0.0000 0.0000 2.7156

=====

Most stable structure, least stable structure: ii), i).

=====

i) CuAs2HBr (PBE, relaxed); calculated volume = 22.4 Å³ per atom; crystal system = tetragonal; D(E_F) = 3.33 states/eV/f.u.
1.0
3.7623 0.0000 0.0000
0.0000 3.7623 0.0000
0.0000 0.0000 7.8980
Cu As H Br
1 2 1 1
Cartesian
0.0000 0.0000 0.0000
0.0000 1.8811 3.9490
1.8811 0.0000 3.9490
1.8811 1.8811 3.9490
1.8811 1.8811 0.0000

=====

ii) CuAs2HBr (PBE, relaxed); calculated volume = 23.7 Å³ per atom; crystal system = tetragonal; D(E_F) = 4.98 states/eV/f.u.
1.0
4.6679 0.0000 0.0000
0.0000 4.6679 0.0000
0.0000 0.0000 5.4355
Cu As H Br
1 2 1 1
Cartesian
0.0000 0.0000 0.0000
0.0000 2.3339 0.0000
2.3339 0.0000 0.0000
2.3339 2.3339 2.7177
0.0000 0.0000 2.7177

=====

iii) CuAs2HBr (PBE, relaxed); calculated volume = 19.1 Å³ per atom; crystal system = tetragonal; D(E_F) = 2.70 states/eV/f.u.
1.0
5.5138 0.0000 0.0000
0.0000 5.5138 0.0000
0.0000 0.0000 3.1441
Cu As H Br
1 2 1 1
Cartesian
0.0000 0.0000 0.0000
0.0000 2.7569 1.5721
2.7569 0.0000 1.5721
2.7569 2.7569 0.0000
2.7569 2.7569 1.5721

=====

Most stable structure, least stable structure: i), ii).

=====

i) HfCuAs2Br (PBE, relaxed); calculated volume = 28.0 Å³ per atom; crystal system = tetragonal; D(E_F) = 5.05 states/eV/f.u.
1.0
5.1823 0.0000 0.0000
0.0000 5.1823 0.0000
0.0000 0.0000 5.2212
Hf Cu As Br
1 1 2 1
Cartesian
0.0000 0.0000 0.0000
2.5911 2.5911 2.6106
0.0000 2.5911 0.0000
2.5911 0.0000 0.0000
0.0000 0.0000 2.6106

=====

ii) HfCuAs2Br (PBE, relaxed); calculated volume = 21.3 Å³ per atom; crystal system = tetragonal; D(E_F) = 1.92 states/eV/f.u.
1.0
4.6716 0.0000 0.0000
0.0000 4.6716 0.0000
0.0000 0.0000 4.8718
Hf Cu As Br
1 1 2 1
Cartesian
0.0000 0.0000 0.0000
2.3358 2.3358 2.4359
0.0000 2.3358 2.4359
2.3358 0.0000 2.4359
2.3358 2.3358 0.0000

=====

Most stable structure, least stable structure: i), ii).

=====

i) LaCuAsBr2 (PBE, relaxed); calculated volume = 24.7 Å³ per atom; crystal system = tetragonal; D(E_F) = 3.64 states/eV/f.u.
1.0
4.8850 0.0000 0.0000
0.0000 4.8850 0.0000
0.0000 0.0000 5.1750
La Cu As Br
1 1 1 2
Cartesian
0.0000 0.0000 0.0000
2.4425 2.4425 2.5875
2.4425 2.4425 0.0000
0.0000 2.4425 2.5875
2.4425 0.0000 2.5875

=====

ii) LaCuAsBr2 (PBE, relaxed); calculated volume = 40.6 Å³ per atom; crystal system = tetragonal; D(E_F) = 1.33 states/eV/f.u.
1.0
5.7568 0.0000 0.0000
0.0000 5.7568 0.0000
0.0000 0.0000 6.1240
La Cu As Br
1 1 1 2
Cartesian
0.0000 0.0000 0.0000
2.8784 2.8784 3.0620
0.0000 0.0000 3.0620
0.0000 2.8784 0.0000
2.8784 0.0000 0.0000

=====

Most stable structure, least stable structure: i), ii).

=====

i) LiCuAs2Br (PBE, relaxed); calculated volume = 31.0 Å³ per atom; crystal system = tetragonal; D(E_F) = 2.82 states/eV/f.u.
1.0
4.4628 0.0000 0.0000
0.0000 4.4628 0.0000
0.0000 0.0000 7.7793
Li Cu As Br
1 1 2 1
Cartesian
0.0000 0.0000 0.0000
2.2314 2.2314 3.8896
0.0000 2.2314 3.8896
2.2314 0.0000 3.8896
2.2314 2.2314 0.0000

=====

ii) LiCuAs2Br (PBE, relaxed); calculated volume = 20.8 Å³ per atom; crystal system = tetragonal; D(E_F) = 4.11 states/eV/f.u.
1.0
4.5636 0.0000 0.0000
0.0000 4.5636 0.0000
0.0000 0.0000 4.9974
Li Cu As Br
1 1 2 1
Cartesian
0.0000 0.0000 0.0000
2.2818 2.2818 2.4987
0.0000 2.2818 0.0000
2.2818 0.0000 0.0000
0.0000 0.0000 2.4987

=====

Most stable structure, least stable structure: i), ii).

=====

i) CuAs2BrN (PBE, relaxed); calculated volume = 17.6 Å³ per atom; crystal system = tetragonal; D(E_F) = 2.56 states/eV/f.u.
1.0
4.3073 0.0000 0.0000
0.0000 4.3073 0.0000
0.0000 0.0000 4.7529
Cu As Br N
1 2 1 1
Cartesian
0.0000 0.0000 0.0000
0.0000 2.1537 2.3764
2.1537 0.0000 2.3764
2.1537 2.1537 0.0000
2.1537 2.1537 2.3764

=====

ii) CuAs2BrN (PBE, relaxed); calculated volume = 23.0 Å³ per atom; crystal system = tetragonal; D(E_F) = 4.88 states/eV/f.u.
1.0
4.6808 0.0000 0.0000
0.0000 4.6808 0.0000
0.0000 0.0000 5.2442
Cu As Br N
1 2 1 1
Cartesian
0.0000 0.0000 0.0000
0.0000 2.3404 0.0000
2.3404 0.0000 0.0000
0.0000 0.0000 2.6221
2.3404 2.3404 2.6221

=====

Most stable structure, least stable structure: i), ii).

=====

i) CuNiAs2Br (PBE, relaxed); calculated volume = 26.6 Å³ per atom; crystal system = tetragonal; D(E_F) = 1.52 states/eV/f.u.
1.0
4.3051 0.0000 0.0000
0.0000 4.3051 0.0000
0.0000 0.0000 7.1629
Cu Ni As Br
1 1 2 1
Cartesian
0.0000 0.0000 0.0000
2.1526 2.1526 3.5815
0.0000 2.1526 3.5815
2.1526 0.0000 3.5815
2.1526 2.1526 0.0000

=====

ii) CuNiAs2Br (PBE, relaxed); calculated volume = 20.5 Å³ per atom; crystal system = tetragonal; D(E_F) = 4.78 states/eV/f.u.
1.0
4.6141 0.0000 0.0000
0.0000 4.6141 0.0000
0.0000 0.0000 4.8168
Cu Ni As Br
1 1 2 1
Cartesian
0.0000 0.0000 0.0000
0.0000 0.0000 2.4084
0.0000 2.3070 0.0000
2.3070 0.0000 0.0000
2.3070 2.3070 2.4084

=====

iii) CuNiAs2Br (PBE, relaxed); calculated volume = 21.7 Å³ per atom; crystal system = tetragonal; D(E_F) = 5.02 states/eV/f.u.
1.0
4.6302 0.0000 0.0000
0.0000 4.6302 0.0000
0.0000 0.0000 5.0502
Cu Ni As Br
1 1 2 1
Cartesian
0.0000 0.0000 0.0000
2.3151 2.3151 2.5251
0.0000 2.3151 0.0000
2.3151 0.0000 0.0000
0.0000 0.0000 2.5251

=====

Most stable structure, least stable structure: i), iii).

=====

i) CuAsPBr2 (PBE, relaxed); calculated volume = 25.4 Å³ per atom; crystal system = tetragonal; D(E_F) = 3.57 states/eV/f.u.
1.0
5.0801 0.0000 0.0000
0.0000 5.0801 0.0000
0.0000 0.0000 4.9277
Cu As P Br
1 1 1 2
Cartesian
0.0000 0.0000 0.0000
2.5400 2.5400 0.0000
2.5400 2.5400 2.4638
0.0000 2.5400 2.4638
2.5400 0.0000 2.4638

=====

ii) CuAsPBr2 (PBE, relaxed); calculated volume = 23.4 Å³ per atom; crystal system = tetragonal; D(E_F) = 3.95 states/eV/f.u.
1.0
4.7852 0.0000 0.0000
0.0000 4.7852 0.0000
0.0000 0.0000 5.1093
Cu As P Br
1 1 1 2
Cartesian
0.0000 0.0000 0.0000
0.0000 0.0000 2.5546
2.3926 2.3926 2.5546
0.0000 2.3926 0.0000
2.3926 0.0000 0.0000

=====

Most stable structure, least stable structure: i), ii).

=====

i) CuAs2PbBr (PBE, relaxed); calculated volume = 35.0 Å³ per atom; crystal system = tetragonal; D(E_F) = 3.62 states/eV/f.u.
1.0
5.5402 0.0000 0.0000
0.0000 5.5402 0.0000
0.0000 0.0000 5.7076
Cu As Pb Br
1 2 1 1
Cartesian
0.0000 0.0000 0.0000
0.0000 2.7701 2.8538
2.7701 0.0000 2.8538
2.7701 2.7701 2.8538
2.7701 2.7701 0.0000

=====

ii) CuAs2PbBr (PBE, relaxed); calculated volume = 25.2 Å³ per atom; crystal system = tetragonal; D(E_F) = 4.39 states/eV/f.u.
1.0
4.6634 0.0000 0.0000
0.0000 4.6634 0.0000
0.0000 0.0000 5.7982
Cu As Pb Br
1 2 1 1
Cartesian
0.0000 0.0000 0.0000
0.0000 2.3317 0.0000
2.3317 0.0000 0.0000
2.3317 2.3317 2.8991
0.0000 0.0000 2.8991

=====

Most stable structure, least stable structure: ii), i).